# NaTc2MoO GGA+U optimized geometry
data_NaTc2MoO
_symmetry_space_group_name_H-M 'P 4/m m m'
_symmetry_Int_Tables_number 123
_symmetry_space_group_name_Hall '-P 4 2'
_cell_length_a 4.813
_cell_length_b 4.813
_cell_length_c 5.052
_cell_angle_alpha 90.00
_cell_angle_beta 90.00
_cell_angle_gamma 90.00
loop_
_atom_site_label
_atom_site_type_symbol
_atom_site_fract_x
_atom_site_fract_y
_atom_site_fract_z
Na1 Na 0.000 0.000 0.000
Tc1 Tc 0.000 0.500 0.000
Mo1 Mo 0.000 0.000 0.500
O1 O 0.500 0.500 0.500
# - total magnetic moment (μB per cell) = 3.2
# - total DFT energy (no corrections) (hartree per atom) = -0.147
# - Fermi-level density of states (states/eV/cell) = 5.0